Run w
Computed, not measured: V2Te3Se after structural relaxation at the GGA-PBE level of DFT.

Computed properties:
Total moment ... 2.41 μB per formula unit

a = 3.5360 Å, b = 7.5205 Å, c = 11.8806 Å
α = 81.04°, β = 81.44°, γ = 76.40°
Fractional positions:
1 V 0.2534 0.6446 0.8485
2 V 0.7466 0.3554 0.1515
3 V 0.7458 0.8599 0.6485
4 V 0.2542 0.1401 0.3515
5 Te 0.1046 0.0069 0.7839
6 Te 0.8954 0.9931 0.2161
7 Te 0.3607 0.2999 0.9786
8 Te 0.6393 0.7001 0.0214
9 Te 0.6365 0.2084 0.5187
10 Te 0.3635 0.7916 0.4813
11 Se 0.8720 0.5311 0.7249
12 Se 0.1280 0.4689 0.2751



Run x
Computed, not measured: V2Te3Se after structural relaxation at the GGA-PBE level of DFT.

Computed properties:
Total moment ... 2.25 μB per formula unit

a = 3.6837 Å, b = 8.1342 Å, c = 10.5167 Å
α = 70.41°, β = 79.91°, γ = 76.91°
Fractional positions:
1 V 0.8488 0.4879 0.8146
2 V 0.1512 0.5121 0.1854
3 V 0.6077 0.2196 0.5651
4 V 0.3923 0.7804 0.4349
5 Te 0.0455 0.1346 0.7744
6 Te 0.9545 0.8654 0.2256
7 Te 0.6608 0.6861 0.9923
8 Te 0.3392 0.3139 0.0077
9 Te 0.7708 0.8423 0.6161
10 Te 0.2292 0.1577 0.3839
11 Se 0.4304 0.4960 0.6432
12 Se 0.5696 0.5040 0.3568



Most stable: run w (next structure +11.2 kJ/mol of atoms)